Entry 1:
# InSi2Pt

A crystal of InSi2Pt relaxed with PBEsol (meta-GGA SCAN, Alexandria via LeMat-Bulk).

a b c (Å): 11.529 2.787 4.728
angles (deg): 90.00 114.06 90.00
Space group C2/m (No. 12)
Asymmetric unit:
In (0.000, 0.000, 0.000)
Si (0.212, 0.000, 0.711)
Pt (0.000, 0.500, 0.500)

Summary:
- N(E_F) (states/eV/f.u.) = 1.22
- crystal system = monoclinic
- raw formation energy (eV/atom) = 0.09



Entry 2:
# AlZn2Fe

A crystal of AlZn2Fe relaxed with PBEsol (meta-GGA SCAN, Alexandria via LeMat-Bulk).

a b c (Å): 5.090 8.861 2.599
angles (deg): 90.00 117.05 90.00
Space group C2/m (No. 12)
Asymmetric unit:
Al (0.000, 0.000, 0.000)
Zn (0.250, 0.250, 0.500)
Fe (0.000, 0.500, 0.000)

Summary:
- ΔE_f (kJ/mol of atoms) = -6
- N(E_F) (states/eV/f.u.) = 1.33
- crystal system = monoclinic



Entry 3:
# As2RuSeN

A crystal of As2RuSeN relaxed with PBEsol (meta-GGA SCAN, Alexandria via LeMat-Bulk).

a b c (Å): 4.203 4.203 4.124
angles (deg): 90.00 90.00 90.00
Space group P4/mmm (No. 123)
Asymmetric unit:
As (0.000, 0.500, 0.000)
Ru (0.000, 0.000, 0.500)
Se (0.500, 0.500, 0.500)
N (0.500, 0.500, 0.000)

Summary:
- N(E_F) (states/eV/f.u.) = 2.39
- crystal system = tetragonal
- raw formation energy (eV/atom) = 0.98



Entry 4:
# Rb2TlPt

A crystal of Rb2TlPt relaxed with PBEsol (meta-GGA SCAN, Alexandria via LeMat-Bulk).

a b c (Å): 11.958 11.958 5.229
angles (deg): 90.00 90.00 90.00
Space group I-42d (No. 122)
Asymmetric unit:
Rb (0.089, 0.750, 0.125)
Tl (0.000, 0.000, 0.500)
Pt (0.000, 0.000, 0.000)

Summary:
- ΔE_f (kJ/mol of atoms) = -11
- N(E_F) (states/eV/f.u.) = 2.20
- crystal system = tetragonal



Entry 5:
# NaAuN2O

A crystal of NaAuN2O relaxed with PBEsol (meta-GGA SCAN, Alexandria via LeMat-Bulk).

a b c (Å): 3.955 3.955 4.380
angles (deg): 90.00 90.00 90.00
Space group P4/mmm (No. 123)
Asymmetric unit:
Na (0.000, 0.000, 0.000)
Au (0.500, 0.500, 0.500)
N (0.000, 0.500, 0.500)
O (0.500, 0.500, 0.000)

Summary:
- N(E_F) (states/eV/f.u.) = 1.70
- crystal system = tetragonal
- raw formation energy (eV/atom) = 1.05



Entry 6:
# HfSc3Rh

A crystal of HfSc3Rh relaxed with PBEsol (meta-GGA SCAN, Alexandria via LeMat-Bulk).

a b c (Å): 4.879 4.879 4.879
angles (deg): 90.00 90.00 90.00
Space group Pm-3m (No. 221)
Asymmetric unit:
Hf (0.000, 0.000, 0.000)
Sc (0.000, 0.000, 0.500)
Rh (0.500, 0.500, 0.500)

Summary:
- ΔE_f (kJ/mol of atoms) = 104
- N(E_F) (states/eV/f.u.) = 4.66
- crystal system = cubic



Entry 7:
# Y2ZrW

A crystal of Y2ZrW relaxed with PBEsol (meta-GGA SCAN, Alexandria via LeMat-Bulk).

a b c (Å): 3.067 4.954 6.010
angles (deg): 90.00 100.70 90.00
Space group P2/m (No. 10)
Asymmetric unit:
Y (0.086, 0.000, 0.262)
Zr (0.500, 0.500, 0.000)
W (0.500, 0.500, 0.500)

Summary:
- ΔE_f (kJ/mol of atoms) = 51
- offset from the most stable computed form (meV per atom) = 62.0
- N(E_F) (states/eV/f.u.) = 5.06
- crystal system = monoclinic



Entry 8:
# BaNb2AlAg

A crystal of BaNb2AlAg relaxed with PBEsol (meta-GGA SCAN, Alexandria via LeMat-Bulk).

a b c (Å): 5.045 5.045 5.342
angles (deg): 90.00 90.00 90.00
Space group P4/mmm (No. 123)
Asymmetric unit:
Ba (0.000, 0.000, 0.000)
Nb (0.000, 0.500, 0.000)
Al (0.000, 0.000, 0.500)
Ag (0.500, 0.500, 0.500)

Summary:
- ΔE_f (kJ/mol of atoms) = 246
- N(E_F) (states/eV/f.u.) = 5.71
- crystal system = tetragonal



Entry 9:
# ScAsPb2

A crystal of ScAsPb2 relaxed with PBEsol (meta-GGA SCAN, Alexandria via LeMat-Bulk).

a b c (Å): 5.935 6.262 10.747
angles (deg): 90.00 90.00 90.00
Space group Fmmm (No. 69)
Asymmetric unit:
Sc (0.000, 0.000, 0.000)
As (0.000, 0.000, 0.500)
Pb (0.000, 0.250, 0.250)

Summary:
- ΔE_f (kJ/mol of atoms) = -31
- N(E_F) (states/eV/f.u.) = 2.10
- crystal system = orthorhombic



Entry 10:
# Al2Pt3

A crystal of Al2Pt3 relaxed with PBEsol (meta-GGA SCAN, Alexandria via LeMat-Bulk).

a b c (Å): 4.1423 4.1423 5.1551
angles (deg): 90.00 90.00 120.00
Space group P-3m1 (No. 164)
Asymmetric unit:
Al (0.3333, 0.6667, 0.3161)
Pt (0.0000, 0.0000, 0.5000)
Pt (0.3333, 0.6667, 0.8321)

Summary:
- ΔE_f (kJ/mol of atoms) = -105
- N(E_F) (states/eV/f.u.) = 2.11
- crystal system = trigonal



Entry 11:
# BeCdW2

A crystal of BeCdW2 relaxed with PBEsol (meta-GGA SCAN, Alexandria via LeMat-Bulk).

a b c (Å): 3.738 3.738 4.303
angles (deg): 90.00 90.00 90.00
Space group P4/mmm (No. 123)
Asymmetric unit:
Be (0.000, 0.000, 0.000)
Cd (0.500, 0.500, 0.000)
W (0.000, 0.500, 0.500)

Summary:
- ΔE_f (kJ/mol of atoms) = 56
- offset from the most stable computed form (meV per atom) = 115.0
- N(E_F) (states/eV/f.u.) = 1.77
- crystal system = tetragonal



Entry 12:
# BiTePO2

A crystal of BiTePO2 relaxed with PBEsol (meta-GGA SCAN, Alexandria via LeMat-Bulk).

a b c (Å): 4.117 4.117 5.212
angles (deg): 90.00 90.00 90.00
Space group P4/mmm (No. 123)
Asymmetric unit:
Bi (0.000, 0.000, 0.000)
Te (0.500, 0.500, 0.500)
P (0.500, 0.500, 0.000)
O (0.000, 0.500, 0.500)

Summary:
- N(E_F) (states/eV/f.u.) = 1.96
- crystal system = tetragonal
- raw formation energy (eV/atom) = -0.20



Entry 13:
# SbTe2Os

A crystal of SbTe2Os relaxed with PBEsol (meta-GGA SCAN, Alexandria via LeMat-Bulk).

a b c (Å): 3.203 5.346 10.776
angles (deg): 90.00 90.00 90.00
Space group Cmmm (No. 65)
Asymmetric unit:
Sb (0.000, 0.000, 0.000)
Te (0.000, 0.500, 0.299)
Os (0.000, 0.000, 0.500)

Summary:
- N(E_F) (states/eV/f.u.) = 2.56
- crystal system = orthorhombic
- raw formation energy (eV/atom) = 0.68



Entry 14:
# ZrSb2Rh

A crystal of ZrSb2Rh relaxed with PBEsol (meta-GGA SCAN, Alexandria via LeMat-Bulk).

a b c (Å): 3.2420 3.2420 26.3630
angles (deg): 90.00 90.00 120.00
Space group R-3m (No. 166, hexagonal axes)
Asymmetric unit:
Zr (0.0000, 0.0000, 0.0000)
Sb (0.0000, 0.0000, 0.2412)
Rh (0.0000, 0.0000, 0.5000)

Summary:
- N(E_F) (states/eV/f.u.) = 3.57
- crystal system = trigonal
- raw formation energy (eV/atom) = -0.25



Entry 15:
# Te2RuAuI

A crystal of Te2RuAuI relaxed with PBEsol (meta-GGA SCAN, Alexandria via LeMat-Bulk).

a b c (Å): 5.002 5.002 5.508
angles (deg): 90.00 90.00 90.00
Space group P4/mmm (No. 123)
Asymmetric unit:
Te (0.000, 0.500, 0.000)
Ru (0.000, 0.000, 0.000)
Au (0.500, 0.500, 0.500)
I (0.000, 0.000, 0.500)

Summary:
- N(E_F) (states/eV/f.u.) = 4.91
- crystal system = tetragonal
- raw formation energy (eV/atom) = 0.69



Entry 16:
# OsCN2F

A crystal of OsCN2F relaxed with PBEsol (meta-GGA SCAN, Alexandria via LeMat-Bulk).

a b c (Å): 3.788 3.788 4.009
angles (deg): 90.00 90.00 90.00
Space group P4/mmm (No. 123)
Asymmetric unit:
Os (0.000, 0.000, 0.000)
C (0.500, 0.500, 0.500)
N (0.000, 0.500, 0.000)
F (0.000, 0.000, 0.500)

Summary:
- N(E_F) (states/eV/f.u.) = 3.17
- crystal system = tetragonal
- raw formation energy (eV/atom) = 1.63



Entry 17:
# Li2PdAu

A crystal of Li2PdAu relaxed with PBEsol (meta-GGA SCAN, Alexandria via LeMat-Bulk).

a b c (Å): 5.961 5.961 5.961
angles (deg): 90.00 90.00 90.00
Space group Fm-3m (No. 225)
Asymmetric unit:
Li (0.250, 0.250, 0.250)
Pd (0.000, 0.000, 0.000)
Au (0.000, 0.000, 0.500)

Summary:
- ΔE_f (kJ/mol of atoms) = -54
- N(E_F) (states/eV/f.u.) = 0.86
- crystal system = cubic



Entry 18:
# Ag2PtBr

A crystal of Ag2PtBr relaxed with PBEsol (meta-GGA SCAN, Alexandria via LeMat-Bulk).

a b c (Å): 6.555 6.555 6.555
angles (deg): 90.00 90.00 90.00
Space group F-43m (No. 216)
Asymmetric unit:
Ag (0.000, 0.000, 0.000)
Ag (0.250, 0.250, 0.250)
Pt (0.000, 0.000, 0.500)
Br (0.250, 0.250, 0.750)

Summary:
- offset from the most stable computed form (meV per atom) = 247.2
- N(E_F) (states/eV/f.u.) = 3.41
- crystal system = cubic
- raw formation energy (eV/atom) = 0.44



Entry 19:
# As2AuSeS

A crystal of As2AuSeS relaxed with PBEsol (meta-GGA SCAN, Alexandria via LeMat-Bulk).

a b c (Å): 4.958 4.958 4.897
angles (deg): 90.00 90.00 90.00
Space group P4/mmm (No. 123)
Asymmetric unit:
As (0.000, 0.500, 0.000)
Au (0.000, 0.000, 0.000)
Se (0.000, 0.000, 0.500)
S (0.500, 0.500, 0.500)

Summary:
- N(E_F) (states/eV/f.u.) = 5.12
- crystal system = tetragonal
- raw formation energy (eV/atom) = 1.06



Entry 20:
# BiMoOsI2

A crystal of BiMoOsI2 relaxed with PBEsol (meta-GGA SCAN, Alexandria via LeMat-Bulk).

a b c (Å): 5.385 5.385 5.134
angles (deg): 90.00 90.00 90.00
Space group P4/mmm (No. 123)
Asymmetric unit:
Bi (0.000, 0.000, 0.000)
Mo (0.500, 0.500, 0.000)
Os (0.000, 0.000, 0.500)
I (0.000, 0.500, 0.500)

Summary:
- N(E_F) (states/eV/f.u.) = 3.99
- crystal system = tetragonal
- raw formation energy (eV/atom) = 1.44



Entry 21:
# FeCoMo

A crystal of FeCoMo relaxed with PBEsol (meta-GGA SCAN, Alexandria via LeMat-Bulk).

a b c (Å): 2.547 2.547 11.002
angles (deg): 90.00 90.00 90.00
Space group I4mm (No. 107)
Asymmetric unit:
Fe (0.000, 0.000, 0.000)
Co (0.000, 0.000, 0.355)
Mo (0.000, 0.000, 0.682)

Summary:
- ΔE_f (kJ/mol of atoms) = 16
- N(E_F) (states/eV/f.u.) = 2.66
- crystal system = tetragonal



Entry 22:
# LaAs2Ru

A crystal of LaAs2Ru relaxed with PBEsol (meta-GGA SCAN, Alexandria via LeMat-Bulk).

a b c (Å): 4.780 4.780 16.138
angles (deg): 90.00 90.00 90.00
Space group I-42d (No. 122)
Asymmetric unit:
La (0.000, 0.000, 0.000)
As (0.099, 0.250, 0.625)
Ru (0.000, 0.000, 0.500)

Summary:
- ΔE_f (kJ/mol of atoms) = -56
- N(E_F) (states/eV/f.u.) = 2.21
- crystal system = tetragonal



Entry 23:
# Cr3Se5

A crystal of Cr3Se5 relaxed with PBEsol (meta-GGA SCAN, Alexandria via LeMat-Bulk).

a b c (Å): 6.648 9.831 4.232
angles (deg): 90.00 90.00 90.00
Space group Cmmm (No. 65)
Asymmetric unit:
Cr (0.000, 0.000, 0.000)
Cr (0.000, 0.198, 0.500)
Se (0.000, 0.500, 0.000)
Se (0.218, 0.000, 0.500)
Se (0.250, 0.250, 0.000)

Summary:
- N(E_F) (states/eV/f.u.) = 3.91
- crystal system = orthorhombic
- raw formation energy (eV/atom) = 0.02



Entry 24:
# FeSn3P

A crystal of FeSn3P relaxed with PBEsol (meta-GGA SCAN, Alexandria via LeMat-Bulk).

a b c (Å): 5.022 5.022 5.022
angles (deg): 90.00 90.00 90.00
Space group Pm-3m (No. 221)
Asymmetric unit:
Fe (0.000, 0.000, 0.000)
Sn (0.000, 0.500, 0.500)
P (0.500, 0.500, 0.500)

Summary:
- ΔE_f (kJ/mol of atoms) = 102
- N(E_F) (states/eV/f.u.) = 5.40
- crystal system = cubic



Entry 25:
# P3Pb5ClO12

A crystal of P3Pb5ClO12 relaxed with PBEsol (meta-GGA SCAN, Alexandria via LeMat-Bulk).

a b c (Å): 9.9780 9.9780 7.2630
angles (deg): 90.00 90.00 120.00
Space group P6_3/m (No. 176)
Asymmetric unit:
P (0.0326, 0.4088, 0.2500)
Pb (0.0075, 0.7542, 0.2500)
Pb (0.3333, 0.6667, 0.5041)
Cl (0.0000, 0.0000, 0.0000)
O (0.0906, 0.3601, 0.0777)
O (0.1167, 0.5904, 0.2500)
O (0.1448, 0.6611, 0.7500)

Summary:
- N(E_F) (states/eV/f.u.) = 0.00
- crystal system = hexagonal
- raw formation energy (eV/atom) = -2.03



Entry 26:
# ReRh

A crystal of ReRh relaxed with PBEsol (meta-GGA SCAN, Alexandria via LeMat-Bulk).

a b c (Å): 2.7201 2.7201 4.3464
angles (deg): 90.00 90.00 120.00
Space group P-6m2 (No. 187)
Asymmetric unit:
Re (0.0000, 0.0000, 0.0000)
Rh (0.6667, 0.3333, 0.5000)

Summary:
- ΔE_f (kJ/mol of atoms) = -13
- offset from the most stable computed form (meV per atom) = 83.4
- N(E_F) (states/eV/f.u.) = 1.68
- crystal system = hexagonal



Entry 27:
# LaCdOs2

A crystal of LaCdOs2 relaxed with PBEsol (meta-GGA SCAN, Alexandria via LeMat-Bulk).

a b c (Å): 2.858 3.755 7.416
angles (deg): 90.00 90.00 90.00
Space group Pmm2 (No. 25)
Asymmetric unit:
La (0.000, 0.000, 0.000)
Cd (0.500, 0.500, 0.670)
Os (0.000, 0.000, 0.422)
Os (0.500, 0.500, 0.286)

Summary:
- ΔE_f (kJ/mol of atoms) = 15
- N(E_F) (states/eV/f.u.) = 2.83
- crystal system = orthorhombic